Er2Ge5Pd3 after structural relaxation. Source: Alexandria, functional PBE.

Geometry as extended XYZ:
```
20
Lattice="4.2879 0.0000 -0.7304 0.0000 6.9756 0.0000 -0.1002 0.0000 12.3628" Properties=species:S:1:pos:R:3 pbc="T T T"
Er 1.9612 5.1965 11.5131
Er 0.7117 5.1761 4.1782
Er 3.4760 1.6883 7.4541
Er 2.2265 1.7087 0.1192
Ge 1.6257 2.7611 9.5436
Ge 1.1799 3.5830 6.9267
Ge 3.0078 0.0952 4.7056
Ge 0.4818 1.8933 2.8281
Ge 1.2081 6.4662 7.0920
Ge 3.9954 0.5286 10.5032
Ge 2.9796 2.9784 4.5404
Ge 3.7059 5.3811 8.8043
Ge 0.1923 4.0164 1.1291
Ge 2.5620 6.2489 2.0888
Pd 3.2775 4.9426 6.2894
Pd 2.5734 3.6498 2.1556
Pd 0.2249 6.7136 1.3202
Pd 0.9101 1.4547 5.3430
Pd 3.9628 3.2258 10.3121
Pd 1.6143 0.1620 9.4767
```

Results
- Formation energy from the elements: -631 kJ/mol of formula units
- Total DFT energy (no corrections): -5.433 eV/atom
- Space-group type: Cmc2_1 (36)